No. 1
AgPd6Rh (GGA-PBE, relaxed); E = -5.12 eV per atom; polymorph energy (0 for the lowest one) = 9 meV per atom; space group = No. 12
1.0
-3.871 0.725 0.217
-2.645 -2.410 -3.284
-2.830 -5.581 3.992
Ag Pd Rh
1 6 1
Cartesian
-2.738 -3.996 0.354
-5.054 -5.436 -0.309
-4.718 -4.435 2.336
-2.312 -1.407 -0.698
-4.628 -2.832 -1.410
-4.292 -1.831 1.235
-7.034 -5.860 1.624
0.000 0.000 0.000

***

No. 2
AgPd6Rh (GGA-PBE, relaxed); E = -5.13 eV per atom; polymorph energy (0 for the lowest one) = 0 meV per atom; space group = No. 123
1.0
3.962 0.000 0.000
0.000 3.962 0.000
0.000 0.000 7.915
Ag Pd Rh
1 6 1
Cartesian
0.000 0.000 0.000
1.981 1.981 0.000
1.981 1.981 3.958
1.981 0.000 2.027
1.981 0.000 5.888
0.000 1.981 2.027
0.000 1.981 5.888
0.000 0.000 3.958

***

No. 3
AgPd3Rh (GGA-PBE, relaxed); E = -4.09 eV per atom; polymorph energy (0 for the lowest one) = 821 meV per atom; space group = No. 221
1.0
4.811 0.000 0.000
0.000 4.811 0.000
0.000 0.000 4.811
Rh Pd Ag
1 3 1
Cartesian
0.000 0.000 0.000
0.000 2.405 0.000
0.000 0.000 2.405
2.405 0.000 0.000
2.405 2.405 2.405

***

No. 4
AgPd3Rh (GGA-PBE, relaxed); E = -4.91 eV per atom; polymorph energy (0 for the lowest one) = 0 meV per atom; space group = No. 12
1.0
4.148 0.000 0.000
2.074 5.004 0.339
-0.001 -0.196 8.077
Ag Pd Rh
2 6 2
Cartesian
0.808 1.513 4.933
4.955 3.959 6.629
2.881 3.738 4.881
2.882 1.868 2.925
2.881 1.734 6.682
2.882 3.800 0.561
4.955 3.594 3.013
4.956 2.074 0.473
2.882 0.406 0.760
0.808 0.258 2.387

***

No. 5
Sc4AgPd2Rh (GGA-PBE, relaxed); E = -6.51 eV per atom; space group = No. 166
1.0
4.692 0.000 0.000
2.346 4.063 0.000
2.346 1.354 7.694
Sc Ag Pd Rh
4 1 2 1
Cartesian
4.692 2.709 6.621
7.038 4.063 2.969
2.346 1.354 4.725
4.692 2.709 1.073
0.000 0.000 0.000
7.038 4.063 5.764
2.346 1.354 1.930
4.692 2.709 3.847

***

No. 6
AgPd2Rh3Se8 (GGA-PBE, relaxed); E = -4.86 eV per atom; space group = No. 160; E_form (uncorrected) = -0.35 eV/atom
1.0
7.473 0.000 0.000
3.736 6.472 0.000
3.736 2.157 6.181
Ag Pd Rh Se
1 2 3 8
Cartesian
11.209 6.472 2.356
3.736 2.157 3.856
7.473 4.315 3.111
7.473 6.471 0.008
9.341 3.236 0.008
5.605 3.236 0.008
3.736 2.157 1.319
11.209 6.472 4.930
5.770 3.331 4.751
9.176 3.331 4.751
7.473 6.281 4.751
7.473 2.408 1.427
5.822 5.268 1.427
9.124 5.268 1.427

***

No. 7
Tb4AgPdRh2 (GGA-PBE, relaxed); E = -5.87 eV per atom; space group = No. 166
1.0
4.970 0.000 0.000
2.485 4.304 0.000
2.485 1.435 8.100
Tb Ag Pd Rh
4 1 1 2
Cartesian
4.970 2.869 7.030
7.455 4.304 3.090
2.485 1.435 5.010
4.970 2.869 1.070
0.000 0.000 0.000
4.970 2.869 4.050
7.455 4.304 6.086
2.485 1.435 2.014

***

No. 8
Tb4AgPd2Rh (GGA-PBE, relaxed); E = -5.62 eV per atom; space group = No. 166
1.0
5.005 0.000 0.000
2.502 4.334 0.000
2.502 1.445 8.153
Tb Ag Pd Rh
4 1 2 1
Cartesian
5.005 2.890 7.007
7.507 4.334 3.164
2.502 1.445 4.989
5.005 2.890 1.145
0.000 0.000 0.000
7.507 4.334 6.160
2.502 1.445 1.992
5.005 2.890 4.076

***

No. 9
TiAgPdRh (GGA-PBE, relaxed); E = -6.17 eV per atom; space group = No. 216
1.0
-3.312 -1.347 2.652
-1.732 -4.071 -0.494
0.746 -3.125 3.081
Rh Pd Ag Ti
1 1 1 1
Cartesian
0.000 0.000 0.000
-2.148 -4.271 2.619
-3.223 -6.407 3.929
-1.074 -2.136 1.310

***

No. 10
TmAgPdRh (GGA-PBE, relaxed); E = -5.52 eV per atom; polymorph energy (0 for the lowest one) = 79 meV per atom; space group = No. 216
1.0
4.651 0.000 0.000
2.325 4.028 0.000
2.325 1.343 3.797
Tm Rh Pd Ag
1 1 1 1
Cartesian
4.651 2.685 1.899
2.325 1.343 0.949
6.976 4.028 2.848
0.000 0.000 0.000

***

No. 11
TmAgPdRh (GGA-PBE, relaxed); E = -5.60 eV per atom; polymorph energy (0 for the lowest one) = 0 meV per atom; space group = No. 47
1.0
3.858 0.000 0.000
0.000 4.181 0.000
0.000 0.000 4.326
Tm Ag Pd Rh
1 1 1 1
Cartesian
0.000 0.000 0.000
0.000 2.090 2.163
1.929 0.000 2.163
1.929 2.090 0.000

***

No. 12
VAgPdRh2 (GGA-PBE, relaxed); E = -5.51 eV per atom; space group = No. 123
1.0
-3.900 -1.978 0.163
0.041 -0.483 -4.865
1.985 -3.880 0.402
Rh Pd Ag V
2 1 1 1
Cartesian
0.992 -1.940 0.201
-1.950 -0.989 0.082
-0.937 -3.170 -2.150
0.021 -0.241 -2.432
0.000 0.000 0.000

***

No. 13
AgPdRh2W (GGA-PBE, relaxed); E = -5.79 eV per atom; space group = No. 123
1.0
4.619 0.000 0.000
0.000 5.068 0.000
0.000 0.000 4.619
Pd Rh Ag W
1 2 1 1
Cartesian
2.309 2.534 2.309
0.000 0.000 2.309
2.309 0.000 0.000
0.000 2.534 0.000
0.000 0.000 0.000

***

No. 14
YAgPdRh (GGA-PBE, relaxed); E = -5.96 eV per atom; space group = No. 216
1.0
-2.304 -4.086 -0.229
1.018 -3.082 -3.394
2.214 -4.006 1.053
Y Rh Pd Ag
1 1 1 1
Cartesian
0.696 -8.381 -1.928
0.000 0.000 0.000
0.464 -5.588 -1.286
0.232 -2.794 -0.643

***

No. 15
ZnAgPdRh (GGA-PBE, relaxed); E = -4.25 eV per atom; space group = No. 216
1.0
-0.249 4.107 1.636
-0.799 0.621 4.310
3.204 1.526 2.647
Zn Rh Pd Ag
1 1 1 1
Cartesian
1.618 4.690 6.445
0.000 0.000 0.000
1.078 3.127 4.297
0.539 1.563 2.148

***

No. 16
Zn2AgPdRh (GGA-PBE, relaxed); E = -2.87 eV per atom; space group = No. 123
1.0
-3.042 1.827 2.955
-3.715 -2.178 -2.478
0.384 -3.727 2.700
Zn Rh Pd Ag
2 1 1 1
Cartesian
0.192 -1.863 1.350
-1.521 0.914 1.478
-3.186 -2.039 1.589
0.000 0.000 0.000
-1.858 -1.089 -1.239

***

No. 17
ZrAgPdRh (GGA-PBE, relaxed); E = -6.45 eV per atom; space group = No. 216
1.0
4.585 0.000 0.000
2.292 3.970 0.000
2.292 1.323 3.743
Zr Rh Pd Ag
1 1 1 1
Cartesian
6.877 3.970 2.808
0.000 0.000 0.000
4.585 2.647 1.872
2.292 1.323 0.936

***

No. 18
Ag2PdRu (GGA-PBE, relaxed); E = -4.22 eV per atom; polymorph energy (0 for the lowest one) = 336 meV per atom; space group = No. 122
1.0
-5.298 -1.044 5.017
4.687 -3.903 4.138
0.453 -0.216 5.848
Ru Pd Ag
2 2 4
Cartesian
-0.306 -2.474 4.577
2.417 -3.297 7.281
0.000 0.000 0.000
-2.575 -1.867 7.721
-2.614 -1.195 5.116
2.382 -2.624 4.674
0.109 -2.016 7.818
-0.194 -4.492 12.397

***

No. 19
AgPdRu2 (GGA-PBE, relaxed); E = -5.95 eV per atom; polymorph energy (0 for the lowest one) = 0 meV per atom; space group = No. 225
1.0
0.000 3.126 3.126
3.126 0.000 3.126
3.126 3.126 0.000
Ru Pd Ag
2 1 1
Cartesian
1.563 1.563 1.563
4.689 4.689 4.689
0.000 0.000 0.000
3.126 3.126 3.126

***

No. 20
AgPdRu3 (GGA-PBE, relaxed); E = -5.18 eV per atom; polymorph energy (0 for the lowest one) = 0 meV per atom; space group = No. 221
1.0
4.761 0.000 0.000
0.000 4.761 0.000
0.000 0.000 4.761
Ru Pd Ag
3 1 1
Cartesian
0.000 2.381 0.000
0.000 0.000 2.381
2.381 0.000 0.000
0.000 0.000 0.000
2.381 2.381 2.381